# 1
# SrLi2Ge

A relaxed SrLi2Ge crystal (PBE, the Alexandria database).

POSCAR file:
```
SrLi2Ge
1.0
4.9078 0.0000 0.0000
0.0000 4.9078 0.0000
2.4539 2.4539 8.8523
Li Sr Ge
4 2 2
Direct
0.3750 0.6236 0.7500
0.8750 0.6264 0.7500
0.3764 0.1250 0.2500
0.3736 0.6250 0.2500
0.0000 0.0000 0.0000
0.7500 0.2500 0.5000
0.5000 0.5000 0.0000
0.2500 0.7500 0.5000
```

mass density: 2.71 g cm⁻³
space-group type: I-42d, No. 122
total energy: -2.70 eV/atom
ΔE_f: -16.68 kJ/mol of atoms
total magnetization: 0.0 Bohr magnetons per cell

---

# 2
# Sc6Tl2Ir

A relaxed Sc6Tl2Ir crystal (PBE, the Alexandria database).

POSCAR file:
```
Sc6Tl2Ir
1.0
-2.3164 4.1501 0.0812
-5.8970 -3.2712 -1.0337
3.2299 -1.0632 7.4514
Sc Tl Ir
6 2 1
Direct
0.8464 0.6099 0.6924
0.1536 0.9175 0.3076
0.1536 0.3901 0.3076
0.8464 0.0825 0.6924
0.5000 0.7770 0.0000
0.5000 0.2230 0.0000
0.6669 0.6671 0.3342
0.3331 0.3329 0.6658
0.0000 0.0000 0.0000
```

mass density: 6.32 g cm⁻³
offset from the most stable computed form: 0.188 eV per atom
space-group type: Immm, No. 71
total energy: -5.99 eV/atom
ΔE_f: -24.69 kJ/mol of atoms
total magnetization: 0.0 Bohr magnetons per cell

---

# 3
# Th2GaBRh6

A relaxed Th2GaBRh6 crystal (PBE, the Alexandria database).

POSCAR file:
```
Th2GaBRh6
1.0
4.4755 0.0000 0.0000
0.0000 4.4755 0.0000
0.0000 0.0000 8.7223
B Rh Th Ga
1 6 2 1
Direct
0.5000 0.5000 0.5000
0.0000 0.5000 0.0000
0.0000 0.5000 0.5000
0.5000 0.0000 0.0000
0.5000 0.5000 0.7270
0.5000 0.5000 0.2730
0.5000 0.0000 0.5000
0.0000 0.0000 0.2537
0.0000 0.0000 0.7463
0.5000 0.5000 0.0000
```

mass density: 11.04 g cm⁻³
space-group type: P4/mmm, No. 123
total energy: -7.51 eV/atom
ΔE_f: -62.49 kJ/mol of atoms
total magnetization: 0.0 Bohr magnetons per cell

---

# 4
# Al2TlTeS6

A relaxed Al2TlTeS6 crystal (PBE, the Alexandria database).

POSCAR file:
```
Al2TlTeS6
1.0
-6.7267 0.1802 1.5153
-4.6159 -4.4637 -6.4110
-2.1980 -7.4577 4.6780
Al S Tl Te
4 12 2 2
Direct
0.6246 0.1803 0.3667
0.1246 0.3667 0.1803
0.8754 0.6333 0.8197
0.3754 0.8197 0.6333
0.1520 0.6106 0.0883
0.3644 0.1926 0.0066
0.7668 0.3914 0.2944
0.1356 0.9934 0.8074
0.7332 0.7056 0.6086
0.8480 0.3894 0.9117
0.3480 0.9117 0.3894
0.6356 0.8074 0.9934
0.6520 0.0883 0.6106
0.2332 0.6086 0.7056
0.8644 0.0066 0.1926
0.2668 0.2944 0.3914
0.7500 0.3684 0.6316
0.2500 0.6316 0.3684
0.2500 0.2242 0.7758
0.7500 0.7758 0.2242
```

mass density: 3.80 g cm⁻³
space-group type: C2/c, No. 15
total energy: -4.24 eV/atom
E_form (uncorrected): -0.464 eV/atom
total magnetization: 0.0 Bohr magnetons per cell

---

# 5
# ZnMo3

A relaxed ZnMo3 crystal (PBE, the Alexandria database).

POSCAR file:
```
ZnMo3
1.0
2.7079 0.0081 0.0000
-0.7987 2.5875 0.0000
0.0000 0.0000 8.8745
Mo Zn
3 1
Direct
0.0000 0.0000 0.0005
0.5000 0.5000 0.7500
0.0000 0.0000 0.4995
0.5000 0.5000 0.2500
```

mass density: 9.42 g cm⁻³
offset from the most stable computed form: 0.038 eV per atom
space-group type: Cmmm, No. 65
total energy: -8.37 eV/atom
ΔE_f: 6.71 kJ/mol of atoms
total magnetization: 0.0 Bohr magnetons per cell

---

# 6
# LaCeHo2

A relaxed LaCeHo2 crystal (PBE, the Alexandria database).

POSCAR file:
```
LaCeHo2
1.0
-1.4831 0.4728 5.4966
2.9766 -2.7734 4.0105
3.3266 2.9150 3.6156
Ho Ce La
2 1 1
Direct
0.7500 0.7500 0.7500
0.2500 0.2500 0.2500
0.0000 0.0000 0.0000
0.5000 0.5000 0.5000
```

mass density: 7.67 g cm⁻³
offset from the most stable computed form: 0.095 eV per atom
space-group type: Fm-3m, No. 225
total energy: -4.85 eV/atom
ΔE_f: 15.08 kJ/mol of atoms
total magnetization: 0.6 Bohr magnetons per cell

---

# 7
# Nd8Ni3RuBr4

A relaxed Nd8Ni3RuBr4 crystal (PBE, the Alexandria database).

POSCAR file:
```
Nd8Ni3RuBr4
1.0
8.1514 0.0000 0.0000
0.0000 9.0818 0.6473
-4.0757 -4.0695 5.7685
Br Ni Nd Ru
4 3 8 1
Direct
0.5000 0.0000 0.5000
0.5000 0.0000 0.0000
0.0000 0.0000 0.5000
0.0000 0.0000 0.0000
0.5000 0.5000 0.5000
0.0000 0.5000 0.5000
0.5000 0.5000 0.0000
0.7323 0.6953 0.9639
0.7684 0.3047 0.5369
0.2694 0.3085 0.5388
0.2316 0.6953 0.4631
0.2677 0.3047 0.0361
0.7685 0.3047 0.0361
0.2315 0.6953 0.9639
0.7306 0.6915 0.4612
0.0000 0.5000 0.0000
```

mass density: 6.48 g cm⁻³
space-group type: R-3m, No. 166
total energy: -5.29 eV/atom
E_form (uncorrected): -0.821 eV/atom
total magnetization: 0.0 Bohr magnetons per cell

---

# 8
# KNa2P

A relaxed KNa2P crystal (PBE, the Alexandria database).

POSCAR file:
```
KNa2P
1.0
-4.3102 1.6414 1.8321
-3.0578 -3.1343 2.3355
0.1457 0.7154 6.4233
K P Na
1 1 2
Direct
0.4895 0.4895 0.5315
0.6848 0.6848 0.9455
0.0246 0.0246 0.9261
0.3010 0.3010 0.0969
```

mass density: 1.56 g cm⁻³
space-group type: R3m, No. 160
total energy: -2.55 eV/atom
ΔE_f: -25.33 kJ/mol of atoms
total magnetization: 0.0 Bohr magnetons per cell

---

# 9
# Mg2Ni3Ge5

A relaxed Mg2Ni3Ge5 crystal (PBE, the Alexandria database).

POSCAR file:
```
Mg2Ni3Ge5
1.0
-0.0483 2.4649 -3.0190
0.6446 -5.2219 -4.2739
-11.7573 -2.1968 0.9107
Ge Ni Mg
10 6 4
Direct
0.1192 0.2672 0.2384
0.0483 0.6013 0.0966
0.9517 0.1013 0.9034
0.7087 0.0009 0.4175
0.5971 0.8796 0.1941
0.2938 0.9214 0.5876
0.7062 0.4214 0.4124
0.4029 0.3796 0.8059
0.2913 0.5009 0.5825
0.8808 0.7672 0.7617
0.0491 0.9847 0.0981
0.9509 0.4847 0.9019
0.6092 0.5179 0.2185
0.3908 0.0179 0.7815
0.2254 0.2110 0.4508
0.7746 0.7110 0.5492
0.8267 0.2101 0.6534
0.5246 0.2707 0.0492
0.4754 0.7707 0.9508
0.1733 0.7101 0.3466
```

mass density: 6.24 g cm⁻³
space-group type: Cmc2_1, No. 36
total energy: -4.58 eV/atom
ΔE_f: -21.24 kJ/mol of atoms
total magnetization: 0.0 Bohr magnetons per cell

---

# 10
# LiCd2Te

A relaxed LiCd2Te crystal (PBE, the Alexandria database).

POSCAR file:
```
LiCd2Te
1.0
-4.3988 -3.1173 -1.6923
1.0544 -2.3085 -5.0488
2.9205 0.1228 4.8360
Li Cd Te
1 2 1
Direct
0.5006 0.5006 0.0000
0.0001 0.0001 0.0000
0.2504 0.7504 0.5000
0.7490 0.2490 0.5000
```

mass density: 6.18 g cm⁻³
space-group type: Imm2, No. 44
total energy: -1.90 eV/atom
E_form (uncorrected): -0.181 eV/atom
total magnetization: 0.0 Bohr magnetons per cell

---

# 11
# Mg2InGaCu

A relaxed Mg2InGaCu crystal (PBE, the Alexandria database).

POSCAR file:
```
Mg2InGaCu
1.0
4.9822 0.0000 0.0000
0.0000 4.9822 0.0000
0.0000 0.0000 4.5726
Ga In Mg Cu
1 1 2 1
Direct
0.0000 0.0000 0.5000
0.5000 0.5000 0.5000
0.5000 0.0000 0.0000
0.0000 0.5000 0.0000
0.0000 0.0000 0.0000
```

mass density: 4.34 g cm⁻³
space-group type: P4/mmm, No. 123
total energy: -2.55 eV/atom
ΔE_f: 5.60 kJ/mol of atoms
total magnetization: 0.0 Bohr magnetons per cell

---

# 12
# YTl3Ga

A relaxed YTl3Ga crystal (PBE, the Alexandria database).

POSCAR file:
```
YTl3Ga
1.0
5.9140 0.0000 0.0000
0.0000 5.9140 0.0000
0.0000 0.0000 5.9140
Tl Y Ga
3 1 1
Direct
0.0000 0.0000 0.5000
0.5000 0.0000 0.0000
0.0000 0.5000 0.0000
0.0000 0.0000 0.0000
0.5000 0.5000 0.5000
```

mass density: 6.20 g cm⁻³
offset from the most stable computed form: 0.274 eV per atom
space-group type: Pm-3m, No. 221
total energy: -2.78 eV/atom
ΔE_f: 51.57 kJ/mol of atoms
total magnetization: 0.0 Bohr magnetons per cell